(1)
The following is a PBEsol calculation of a relaxed LiTl2 crystal, from Alexandria via LeMat-Bulk.

Results
- total DFT energy (no corrections) (eV per formula unit) = -7.54
- density of states at the Fermi level (states/eV per cell) = 3.032
- calculated volume (Å³/f.u.) = 71.2
- ΔE to the lowest computed polymorph (meV per atom) = 56
- energy of formation (eV per atom) = -0.105

abc: 3.419 5.398 7.900
angles: 90.00 102.50 90.00
Fractional positions:
Li1 0.215 0.250 0.431
Li2 0.785 0.750 0.569
Tl1 0.872 0.250 0.743
Tl2 0.558 0.250 0.116
Tl3 0.442 0.750 0.884
Tl4 0.128 0.750 0.257

=====

(2)
The following is a PBEsol calculation of a relaxed SrLa2Ir crystal, from Alexandria via LeMat-Bulk.

Results
- total DFT energy (no corrections) (eV per formula unit) = -23.91
- density of states at the Fermi level (states/eV per cell) = 3.509
- calculated volume (Å³/f.u.) = 151.9
- ΔE to the lowest computed polymorph (meV per atom) = 0
- energy of formation (eV per atom) = -0.388

abc: 4.190 4.190 10.281
angles: 78.24 78.24 60.00
Fractional positions:
Ir1 0.000 0.000 0.000
La1 0.716 0.716 0.852
La2 0.284 0.284 0.148
Sr1 0.500 0.500 0.500

=====

(3)
The following is a PBEsol calculation of a relaxed BaLi2Ru crystal, from Alexandria via LeMat-Bulk.

Results
- total DFT energy (no corrections) (eV per formula unit) = -14.17
- density of states at the Fermi level (states/eV per cell) = 3.070
- calculated volume (Å³/f.u.) = 83.0
- ΔE to the lowest computed polymorph (meV per atom) = 0
- energy of formation (eV per atom) = 0.521

abc: 3.229 4.848 5.425
angles: 90.00 102.29 90.00
Last column: magnetic moment on the atom in μB.
Fractional positions:
Ru1 0.500 0.500 0.000  0.31
Li1 0.298 0.000 0.174  0.00
Li2 0.702 0.000 0.826  0.00
Ba1 0.000 0.500 0.500  -0.01

=====

(4)
The following is a PBEsol calculation of a relaxed Ti4FeSe8 crystal, from Alexandria via LeMat-Bulk.

Results
- total DFT energy (no corrections) (eV per formula unit) = -86.70
- density of states at the Fermi level (states/eV per cell) = 6.979
- calculated volume (Å³/f.u.) = 240.1

abc: 6.724 6.724 6.933
angles: 105.48 104.64 117.66
Fractional positions:
Fe1 0.000 0.000 0.000
Se1 0.554 0.777 0.331
Se2 0.445 0.220 0.169
Se3 0.955 0.715 0.670
Se4 0.446 0.223 0.669
Se5 0.949 0.723 0.169
Se6 0.051 0.277 0.831
Se7 0.045 0.285 0.330
Se8 0.555 0.780 0.831
Ti1 0.263 0.763 0.500
Ti2 0.737 0.237 0.500
Ti3 0.744 0.249 0.993
Ti4 0.256 0.751 0.007

=====

(5)
The following is a PBEsol calculation of a relaxed Ba2GaFeNi crystal, from Alexandria via LeMat-Bulk.

Results
- total DFT energy (no corrections) (eV per formula unit) = -20.45
- density of states at the Fermi level (states/eV per cell) = 8.817
- calculated volume (Å³/f.u.) = 147.6
- energy of formation (eV per atom) = 0.462

abc: 4.542 5.701 5.701
angles: 90.00 90.00 90.00
Last column: magnetic moment on the atom in μB.
Fractional positions:
Fe1 0.500 0.500 0.500  3.01
Ba1 0.000 0.500 0.000  -0.06
Ba2 0.000 0.000 0.500  -0.06
Ga1 0.500 0.000 0.000  -0.01
Ni1 0.000 0.000 0.000  -0.07

=====

(6)
The following is a PBEsol calculation of a relaxed YAsPd2N crystal, from Alexandria via LeMat-Bulk.

Results
- total DFT energy (no corrections) (eV per formula unit) = -28.92
- density of states at the Fermi level (states/eV per cell) = 3.735
- calculated volume (Å³/f.u.) = 109.5

abc: 4.441 4.441 5.550
angles: 90.00 90.00 90.00
Last column: magnetic moment on the atom in μB.
Fractional positions:
N1 0.500 0.500 0.500  0.90
Y1 0.000 0.000 0.500  -0.09
Pd1 0.000 0.500 0.000  0.03
Pd2 0.500 0.000 0.000  0.03
As1 0.000 0.000 0.000  0.02

=====

(7)
The following is a PBEsol calculation of a relaxed TaOs2Pt crystal, from Alexandria via LeMat-Bulk.

Results
- total DFT energy (no corrections) (eV per formula unit) = -45.13
- density of states at the Fermi level (states/eV per cell) = 2.370
- calculated volume (Å³/f.u.) = 59.4
- ΔE to the lowest computed polymorph (meV per atom) = 79
- energy of formation (eV per atom) = -0.295

abc: 3.894 3.894 4.791
angles: 113.98 113.98 90.00
Fractional positions:
Pt1 0.500 0.500 0.000
Os1 0.000 0.000 0.000
Os2 0.250 0.750 0.500
Ta1 0.750 0.250 0.500

=====

(8)
The following is a PBEsol calculation of a relaxed Li2TaHgW crystal, from Alexandria via LeMat-Bulk.

Results
- total DFT energy (no corrections) (eV per formula unit) = -22.87
- density of states at the Fermi level (states/eV per cell) = 4.704
- calculated volume (Å³/f.u.) = 109.0
- energy of formation (eV per atom) = 1.598

abc: 4.673 4.830 4.830
angles: 90.00 90.00 90.00
Last column: magnetic moment on the atom in μB.
Fractional positions:
Li1 0.000 0.500 0.000  0.02
Li2 0.000 0.000 0.500  0.02
Hg1 0.500 0.500 0.500  0.00
Ta1 0.000 0.000 0.000  0.34
W1 0.500 0.000 0.000  -0.12

=====

(9)
The following is a PBEsol calculation of a relaxed CaPbW crystal, from Alexandria via LeMat-Bulk.

Results
- total DFT energy (no corrections) (eV per formula unit) = -16.33
- density of states at the Fermi level (states/eV per cell) = 3.095
- calculated volume (Å³/f.u.) = 81.1
- energy of formation (eV per atom) = 1.204

abc: 4.859 4.859 4.859
angles: 60.00 60.00 60.00
Last column: magnetic moment on the atom in μB.
Fractional positions:
Ca1 0.000 0.000 0.000  0.13
W1 0.250 0.250 0.250  2.05
Pb1 0.500 0.500 0.500  -0.08

=====

(10)
The following is a PBEsol calculation of a relaxed BiHPt2 crystal, from Alexandria via LeMat-Bulk.

Results
- total DFT energy (no corrections) (eV per formula unit) = -21.59
- density of states at the Fermi level (states/eV per cell) = 2.327
- calculated volume (Å³/f.u.) = 61.0

abc: 5.411 5.411 5.411
angles: 110.28 109.07 109.07
Fractional positions:
Pt1 0.850 0.475 0.125
Pt2 0.150 0.275 0.625
Pt3 0.350 0.875 0.725
Pt4 0.650 0.375 0.525
Bi1 0.000 0.000 0.000
Bi2 0.500 0.750 0.250
H1 0.000 0.500 0.500
H2 0.500 0.250 0.750

=====

(11)
The following is a PBEsol calculation of a relaxed SrTlHg2 crystal, from Alexandria via LeMat-Bulk.

Results
- total DFT energy (no corrections) (eV per formula unit) = -6.96
- density of states at the Fermi level (states/eV per cell) = 2.027
- calculated volume (Å³/f.u.) = 111.4
- ΔE to the lowest computed polymorph (meV per atom) = 89
- energy of formation (eV per atom) = -0.338

abc: 3.793 4.717 6.526
angles: 90.00 107.37 90.00
Fractional positions:
Tl1 0.210 0.500 0.798
Hg1 0.947 0.500 0.255
Hg2 0.794 0.000 0.987
Sr1 0.549 0.000 0.460

=====

(12)
The following is a PBEsol calculation of a relaxed ZrPW2 crystal, from Alexandria via LeMat-Bulk.

Results
- total DFT energy (no corrections) (eV per formula unit) = -42.10
- density of states at the Fermi level (states/eV per cell) = 4.885
- calculated volume (Å³/f.u.) = 64.8
- energy of formation (eV per atom) = 0.100

abc: 2.924 2.924 7.584
angles: 90.00 90.00 90.00
Fractional positions:
W1 0.000 0.000 0.307
W2 0.000 0.000 0.693
Zr1 0.500 0.500 0.000
P1 0.500 0.500 0.500

=====

(13)
The following is a PBEsol calculation of a relaxed K3RbPd crystal, from Alexandria via LeMat-Bulk.

Results
- total DFT energy (no corrections) (eV per formula unit) = -9.69
- density of states at the Fermi level (states/eV per cell) = 2.176
- calculated volume (Å³/f.u.) = 261.1
- energy of formation (eV per atom) = 0.140

abc: 6.392 6.392 6.392
angles: 90.00 90.00 90.00
Fractional positions:
K1 0.500 0.000 0.000
K2 0.000 0.500 0.000
K3 0.000 0.000 0.500
Pd1 0.000 0.000 0.000
Rb1 0.500 0.500 0.500